No. 1
First-principles (PBE) data for a relaxed structure of LiSc2Os, as listed in the Alexandria database.

Lattice parameters (Å, degrees): 2.9275 2.9275 9.6167 90.00 90.00 112.78
Atoms (fractional coordinates):
Li  0.0000  0.0000  0.5371
Os  0.5000  0.5000  0.7515
Sc  0.0000  0.0000  0.9573
Sc  0.5000  0.5000  0.2541

Summary:
Total DFT energy (no corrections): -25.06 eV per cell
Symmetry: Cmm2 (35)
Calculated formation energy: 0.19 eV per atom
Magnetization: 0.00 μB per formula unit
ΔE to the lowest computed polymorph: 519 meV/atom

=====

No. 2
First-principles (PBE) data for a relaxed structure of BaAl2Si, as listed in the Alexandria database.

Lattice parameters (Å, degrees): 9.9089 9.9089 9.9089 19.41 19.41 19.41
Atoms (fractional coordinates):
Si  0.7337  0.7337  0.7337
Ba  0.4961  0.4961  0.4961
Al  0.0048  0.0048  0.0048
Al  0.2654  0.2654  0.2654

Summary:
Total DFT energy (no corrections): -13.55 eV per cell
Symmetry: R3m (160)
Magnetization: 0.00 μB per formula unit

=====

No. 3
First-principles (PBE) data for a relaxed structure of HfReAgN2, as listed in the Alexandria database.

Lattice parameters (Å, degrees): 3.8903 5.2139 3.8903 90.00 90.00 90.00
Atoms (fractional coordinates):
Re  0.0000  0.0000  0.0000
Hf  0.5000  0.5000  0.5000
Ag  0.0000  0.5000  0.0000
N  0.0000  0.0000  0.5000
N  0.5000  0.0000  0.0000

Summary:
Total DFT energy (no corrections): -38.49 eV per cell
Symmetry: P4/mmm (123)
Magnetization: 0.00 μB per formula unit